Tm6MgSc12 | PBE-GGA | optimized geometry

The structure in extended XYZ format:
```
19
Lattice="5.813 3.356 4.353 -5.813 3.356 4.353 0.000 -6.712 4.353" Properties=species:S:1:pos:R:3 pbc="T T T"
Tm -3.170 0.728 5.923
Tm -2.215 -2.381 7.137
Tm 0.954 -3.109 5.923
Tm -0.954 3.109 7.137
Tm 2.215 2.381 5.923
Tm 3.170 -0.728 7.137
Mg 0.000 0.000 6.530
Sc -5.435 -1.440 7.453
Sc -1.471 -5.427 5.607
Sc -1.328 -1.324 4.050
Sc -3.965 3.987 5.607
Sc -0.483 1.812 4.050
Sc 1.811 -0.488 4.050
Sc -1.811 0.488 9.010
Sc 0.483 -1.812 9.010
Sc 3.965 -3.987 7.453
Sc 1.328 1.324 9.010
Sc 1.471 5.427 7.453
Sc 5.435 1.440 5.607
```

Calculated values
Formation energy from the elements   15.80 kJ/mol of atoms
Symmetry   R-3 (148)

Ce2PuPb | PBE-GGA | optimized geometry

The structure in extended XYZ format:
```
4
Lattice="1.823 1.052 8.616 -1.823 1.052 8.616 0.000 -2.105 8.616" Properties=species:S:1:pos:R:3 pbc="T T T"
Ce 0.000 0.000 0.000
Ce 0.000 0.000 5.493
Pu 0.000 0.000 15.657
Pb 0.000 0.000 19.991
```

Calculated values
Formation energy from the elements   11.37 kJ/mol of atoms
Symmetry   R3m (160)

PmSmTl | PBE-GGA | optimized geometry

The structure in extended XYZ format:
```
3
Lattice="1.829 1.056 8.242 -1.829 1.056 8.242 0.000 -2.112 8.242" Properties=species:S:1:pos:R:3 pbc="T T T"
Pm 0.000 0.000 0.000
Sm 0.000 0.000 5.341
Tl 0.000 0.000 10.913
```

Calculated values
Formation energy from the elements   -11.32 kJ/mol of atoms
Symmetry   R3m (160)

Mn2SiPb | PBE-GGA | optimized geometry

The structure in extended XYZ format:
```
4
Lattice="1.976 1.141 5.128 -1.976 1.141 5.128 0.000 -2.282 5.128" Properties=species:S:1:pos:R:3 pbc="T T T"
Mn 0.000 0.000 0.000
Mn 0.000 0.000 3.654
Si 0.000 0.000 9.310
Pb 0.000 0.000 12.163
```

Calculated values
Uncorrected formation energy   0.214 eV per atom
Symmetry   R3m (160)

Pm4CoAg2 | PBE-GGA | optimized geometry

The structure in extended XYZ format:
```
7
Lattice="7.056 -2.372 0.000 7.056 2.372 0.000 -1.562 0.000 5.719" Properties=species:S:1:pos:R:3 pbc="T T T"
Pm 0.711 0.000 1.505
Pm 4.761 0.000 1.228
Pm 7.791 0.000 4.491
Pm 11.840 0.000 4.214
Co 7.056 0.000 0.000
Ag 2.810 0.000 3.814
Ag 9.742 0.000 1.905
```

Calculated values
Formation energy from the elements   -12.58 kJ/mol of atoms
Symmetry   C2/m (12)

HgPAu2Br | PBE-GGA | optimized geometry

The structure in extended XYZ format:
```
5
Lattice="5.359 0.000 0.000 0.000 5.359 0.000 0.000 0.000 5.450" Properties=species:S:1:pos:R:3 pbc="T T T"
Hg 0.000 0.000 0.000
P 2.679 2.679 2.725
Au 0.000 2.679 0.000
Au 2.679 0.000 0.000
Br 0.000 0.000 2.725
```

Calculated values
Uncorrected formation energy   1.079 eV per atom
Symmetry   P4/mmm (123)

What did the second record say?
Ce2PuPb | PBE-GGA | optimized geometry

The structure in extended XYZ format:
```
4
Lattice="1.823 1.052 8.616 -1.823 1.052 8.616 0.000 -2.105 8.616" Properties=species:S:1:pos:R:3 pbc="T T T"
Ce 0.000 0.000 0.000
Ce 0.000 0.000 5.493
Pu 0.000 0.000 15.657
Pb 0.000 0.000 19.991
```

Calculated values
Formation energy from the elements   11.37 kJ/mol of atoms
Symmetry   R3m (160)